Entry 1:
The following is a DFT calculation (PBEsol) of crystalline SrLaRu2 at its relaxed geometry.

abc: 3.151 4.401 6.562
angles: 90.00 100.89 90.00
Sites, in units of the cell vectors:
Sr  0.000  0.000  0.000
La  0.500  0.000  0.500
Ru  0.307  0.500  0.674
Ru  0.693  0.500  0.326

Output
- SG: P2/m, No. 10
- Magnetic moment: 0.000 μB/atom
- Energy of formation: 1.35 eV per formula unit

Entry 2:
The following is a DFT calculation (PBEsol) of crystalline Sr2LaRu at its relaxed geometry.

abc: 5.376 5.376 5.376
angles: 60.00 60.00 60.00
Sites, in units of the cell vectors:
Sr  0.000  0.000  0.000
Sr  0.250  0.250  0.250
La  0.750  0.750  0.750
Ru  0.500  0.500  0.500

Output
- SG: F-43m, No. 216
- Magnetic moment: 0.000 μB/atom
- Energy of formation: 1.83 eV per formula unit

Entry 3:
The following is a DFT calculation (PBEsol) of crystalline LaTaRu2 at its relaxed geometry.

abc: 5.680 5.680 5.680
angles: 140.71 140.71 56.78
Sites, in units of the cell vectors:
La  0.000  0.000  0.000
Ta  0.250  0.750  0.500
Ru  0.500  0.500  0.000
Ru  0.750  0.250  0.500

Output
- SG: I-4m2, No. 119
- Magnetic moment: 0.000 μB/atom
- Energy of formation: 1.49 eV per formula unit

Entry 4:
The following is a DFT calculation (PBEsol) of crystalline LaTaRu3 at its relaxed geometry.

abc: 4.711 4.711 4.711
angles: 90.00 90.00 90.00
Sites, in units of the cell vectors:
La  0.000  0.000  0.000
Ta  0.500  0.500  0.500
Ru  0.000  0.500  0.500
Ru  0.500  0.000  0.500
Ru  0.500  0.500  0.000

Output
- SG: Pm-3m, No. 221
- Magnetic moment: 0.000 μB/atom
- Energy of formation: 3.40 eV per formula unit

Entry 5:
The following is a DFT calculation (PBEsol) of crystalline LaTaRu2 at its relaxed geometry.

abc: 3.162 3.162 7.258
angles: 90.00 90.00 90.00
Sites, in units of the cell vectors:
La  0.000  0.000  0.000
Ta  0.000  0.000  0.500
Ru  0.500  0.500  0.297
Ru  0.500  0.500  0.703

Output
- SG: P4/mmm, No. 123
- Magnetic moment: 0.000 μB/atom
- Energy of formation: -0.83 eV per formula unit

Entry 6:
The following is a DFT calculation (PBEsol) of crystalline LaTa2Ru at its relaxed geometry.

abc: 2.998 4.624 5.545
angles: 90.00 102.53 90.00
Sites, in units of the cell vectors:
La  0.000  0.000  0.000
Ta  0.265  0.500  0.727
Ta  0.735  0.500  0.273
Ru  0.500  0.000  0.500

Output
- SG: P2/m, No. 10
- Magnetic moment: 0.000 μB/atom
- Energy of formation: 1.41 eV per formula unit